# 1
# GGA-PBE LiGe2I, relaxed
# Polymorph energy (0 for the lowest one) ... 596.7 meV per atom
# Formation energy (no corrections) ... 180 kJ/mol of formula units
# Size of the total moment ... 0.00 Bohr magnetons per cell
# Final energy ... -2.7083 eV/atom
data_LiGe2I
_space_group_name_H-M_alt 'F m -3 m'
_space_group_IT_number 225
_space_group_name_Hall '-F 4 2 3'
_cell_length_a 7.2090
_cell_length_b 7.2090
_cell_length_c 7.2090
_cell_angle_alpha 90.00
_cell_angle_beta 90.00
_cell_angle_gamma 90.00
loop_
_atom_site_label
_atom_site_fract_x
_atom_site_fract_y
_atom_site_fract_z
Li1 0.0000 0.0000 0.0000
Ge1 0.2500 0.2500 0.2500
I1 0.0000 0.0000 0.5000

***

# 2
# GGA-PBE Li2Ge2I, relaxed
# Polymorph energy (0 for the lowest one) ... 172.7 meV per atom
# Formation energy (no corrections) ... 39 kJ/mol of formula units
# Size of the total moment ... 0.00 Bohr magnetons per cell
# Final energy ... -2.8407 eV/atom
data_Li2Ge2I
_space_group_name_H-M_alt 'I 4/m m m'
_space_group_IT_number 139
_space_group_name_Hall '-I 4 2'
_cell_length_a 4.6309
_cell_length_b 4.6309
_cell_length_c 10.7736
_cell_angle_alpha 90.00
_cell_angle_beta 90.00
_cell_angle_gamma 90.00
loop_
_atom_site_label
_atom_site_fract_x
_atom_site_fract_y
_atom_site_fract_z
Li1 0.0000 0.5000 0.2500
Ge1 0.0000 0.0000 0.1098
I1 0.0000 0.0000 0.5000

***

# 3
# GGA-PBE LiGe2I4, relaxed
# Formation energy (no corrections) ... -146 kJ/mol of formula units
# Size of the total moment ... 1.79 Bohr magnetons per cell
# Final energy ... -2.6948 eV/atom
data_LiGe2I4
_space_group_name_H-M_alt 'I 4/m'
_space_group_IT_number 87
_space_group_name_Hall '-I 4'
_cell_length_a 8.0930
_cell_length_b 8.0930
_cell_length_c 8.4384
_cell_angle_alpha 90.00
_cell_angle_beta 90.00
_cell_angle_gamma 90.00
loop_
_atom_site_label
_atom_site_fract_x
_atom_site_fract_y
_atom_site_fract_z
Li1 0.0000 0.0000 0.0000
Ge1 0.0000 0.5000 0.2500
I1 0.1823 0.3081 0.0000

***

# 4
# GGA-PBE LiGeI3, relaxed
# Formation energy (no corrections) ... -187 kJ/mol of formula units
# Size of the total moment ... 0.00 Bohr magnetons per cell
# Final energy ... -2.6250 eV/atom
data_LiGeI3
_space_group_name_H-M_alt 'P m -3 m'
_space_group_IT_number 221
_space_group_name_Hall '-P 4 2 3'
_cell_length_a 5.8668
_cell_length_b 5.8668
_cell_length_c 5.8668
_cell_angle_alpha 90.00
_cell_angle_beta 90.00
_cell_angle_gamma 90.00
loop_
_atom_site_label
_atom_site_fract_x
_atom_site_fract_y
_atom_site_fract_z
Li1 0.0000 0.0000 0.0000
Ge1 0.5000 0.5000 0.5000
I1 0.0000 0.5000 0.5000

***

# 5
# GGA-PBE Li3GeI, relaxed
# Polymorph energy (0 for the lowest one) ... 0.0 meV per atom
# Formation energy (no corrections) ... -70 kJ/mol of formula units
# Size of the total moment ... 2.00 Bohr magnetons per cell
# Final energy ... -2.5273 eV/atom
data_Li3GeI
_space_group_name_H-M_alt 'P m -3 m'
_space_group_IT_number 221
_space_group_name_Hall '-P 4 2 3'
_cell_length_a 5.0835
_cell_length_b 5.0835
_cell_length_c 5.0835
_cell_angle_alpha 90.00
_cell_angle_beta 90.00
_cell_angle_gamma 90.00
loop_
_atom_site_label
_atom_site_fract_x
_atom_site_fract_y
_atom_site_fract_z
Li1 0.0000 0.0000 0.5000
Ge1 0.0000 0.0000 0.0000
I1 0.5000 0.5000 0.5000

***

# 6
# GGA-PBE LiGeI4, relaxed
# Formation energy (no corrections) ... -290 kJ/mol of formula units
# Size of the total moment ... 0.00 Bohr magnetons per cell
# Final energy ... -2.6223 eV/atom
data_LiGeI4
_space_group_name_H-M_alt 'C 1 2/m 1'
_space_group_IT_number 12
_space_group_name_Hall '-C 2y'
_cell_length_a 22.4923
_cell_length_b 4.9788
_cell_length_c 10.4950
_cell_angle_alpha 90.00
_cell_angle_beta 101.89
_cell_angle_gamma 90.00
loop_
_atom_site_label
_atom_site_fract_x
_atom_site_fract_y
_atom_site_fract_z
Li1 0.2320 0.0000 0.0898
Ge1 0.0855 0.5000 0.2404
I1 0.0275 0.5000 0.7467
I2 0.1037 0.0000 0.1305
I3 0.1493 0.5000 0.4724
I4 0.2246 0.0000 0.8252

***

# 7
# GGA-PBE LiGeI3, relaxed
# Formation energy (no corrections) ... -33 kJ/mol of formula units
# Size of the total moment ... 0.00 Bohr magnetons per cell
# Final energy ... -2.3037 eV/atom
data_LiGeI3
_space_group_name_H-M_alt 'P m -3 m'
_space_group_IT_number 221
_space_group_name_Hall '-P 4 2 3'
_cell_length_a 5.4485
_cell_length_b 5.4485
_cell_length_c 5.4485
_cell_angle_alpha 90.00
_cell_angle_beta 90.00
_cell_angle_gamma 90.00
loop_
_atom_site_label
_atom_site_fract_x
_atom_site_fract_y
_atom_site_fract_z
Li1 0.0000 0.0000 0.0000
Ge1 0.5000 0.5000 0.5000
I1 0.0000 0.0000 0.5000

***

# 8
# GGA-PBE LiGe2I, relaxed
# Polymorph energy (0 for the lowest one) ... 0.0 meV per atom
# Formation energy (no corrections) ... -50 kJ/mol of formula units
# Size of the total moment ... 0.00 Bohr magnetons per cell
# Final energy ... -3.3050 eV/atom
data_LiGe2I
_space_group_name_H-M_alt 'I -4 2 d'
_space_group_IT_number 122
_space_group_name_Hall 'I -4 2bw'
_cell_length_a 3.8160
_cell_length_b 3.8160
_cell_length_c 34.8867
_cell_angle_alpha 90.00
_cell_angle_beta 90.00
_cell_angle_gamma 90.00
loop_
_atom_site_label
_atom_site_fract_x
_atom_site_fract_y
_atom_site_fract_z
Li1 0.0000 0.0000 0.0000
Ge1 0.2370 0.2500 0.1250
I1 0.0000 0.0000 0.5000